Record 1
Hf3Ti6In | GGA-PBE | optimized geometry

Results
Total moment in μB per formula unit: 0.00
ΔE_f in eV/atom: 0.327

a = 11.4459 Å, b = 11.4459 Å, c = 5.3028 Å
α = 90.00°, β = 90.00°, γ = 120.00°
Space group R3m (No. 160, hexagonal axes)
Inequivalent atoms, fractional coordinates:
Hf  0.0077  0.5038  0.0000 [9 per cell]
Ti  0.0771  0.1541  0.8292 [9 per cell]
Ti  0.2020  0.4040  0.8287 [9 per cell]
In  0.0000  0.0000  0.3500 [3 per cell]

=====

Record 2
VCd5 | GGA-PBE | optimized geometry

Results
Total moment in μB per formula unit: 2.82
ΔE_f in eV/atom: 0.171

a = 4.3429 Å, b = 13.0414 Å, c = 4.3963 Å
α = 90.00°, β = 90.00°, γ = 90.00°
Space group Cmmm (No. 65)
Inequivalent atoms, fractional coordinates:
V  0.0000  0.0000  0.0000 [2 per cell]
Cd  0.0000  0.1606  0.5000 [4 per cell]
Cd  0.0000  0.3363  0.0000 [4 per cell]
Cd  0.0000  0.5000  0.5000 [2 per cell]